TaTe2Au | PBE | optimized geometry

The formation energy without anion corrections comes out at 0.3717 eV/atom. The volume comes out at 21.986 A^3/atom. Its energy above the most stable polymorph in this dataset is 1.76 eV per formula unit.

The space group is Fm-3m (No. 225) and the conventional cell measures 7.059, 7.059 and 7.059 Å, with angles of 90.00, 90.00 and 90.00 degrees. The distinct sites, in fractional coordinates, are Ta at (0.000, 0.000, 0.000), Te at (0.250, 0.250, 0.250) and Au at (0.000, 0.000, 0.500).